Record 1
A plane-wave DFT calculation with GGA-PBE was carried out for a geometry-optimized Ac4Sn8Ru structure.

Output
* space group: Pmm2

a = 4.6398 Å, b = 4.7928 Å, c = 17.9946 Å
α = 90.00°, β = 90.00°, γ = 90.00°
Closest atoms and distances in Å follow each position.
Positions (direct):
Ac (0.5000, 0.5000, 0.3939)  10 Sn 3.51-3.84, 4 Ru 3.67
Ac (0.0000, 0.5000, 0.6062)  10 Sn 3.43-3.63
Ac (0.0000, 0.0000, 0.0993)  10 Sn 3.42-3.68, 1 Ru 3.76
Ac (0.5000, 0.0000, 0.8973)  10 Sn 3.44-3.74
Sn (0.5000, 0.0000, 0.2387)  2 Ru 2.64
Sn (0.0000, 0.0000, 0.4547)  1 Ru 2.63
Sn (0.5000, 0.0000, 0.5609)  2 Sn 3.01
Sn (0.0000, 0.5000, 0.9441)  2 Sn 3.08, 4 Ac 3.44
Sn (0.5000, 0.5000, 0.0568)  2 Sn 3.08, 4 Ac 3.42
Sn (0.0000, 0.5000, 0.2392)  2 Ru 2.70
Sn (0.5000, 0.5000, 0.7564)  4 Sn 3.34, 4 Ac 3.49-3.56
Sn (0.0000, 0.0000, 0.7470)  4 Sn 3.34, 4 Ac 3.49-3.56
Ru (0.0000, 0.0000, 0.3084)  5 Sn 2.63-2.70


Record 2
A plane-wave DFT calculation with GGA-PBE was carried out for a geometry-optimized Na8AsP2 structure.

Output
* space group: C2/m

a = 4.8107 Å, b = 7.1237 Å, c = 8.7905 Å
α = 112.52°, β = 105.88°, γ = 90.00°
Closest atoms and distances in Å follow each position.
Positions (direct):
P (0.8244, 0.3234, 0.6488)  9 Na 2.89-3.16
P (0.1756, 0.6766, 0.3512)  9 Na 2.89-3.16
As (0.5000, 0.0000, 0.0000)  8 Na 2.96-3.07
Na (0.1983, 0.2907, 0.3966)  3 P 2.92-3.16, 4 Na 3.07-3.27
Na (0.6698, 0.9397, 0.3396)  3 P 2.93-3.07, 1 As 3.07, 2 Na 3.25-3.26
Na (0.3929, 0.5557, 0.7858)  2 P 2.89, 1 As 2.96, 3 Na 3.07-3.20
Na (0.6071, 0.4443, 0.2142)  2 P 2.89, 1 As 2.96, 3 Na 3.07-3.20
Na (0.0223, 0.7693, 0.0447)  1 P 2.92, 2 As 3.02, 2 Na 3.20
Na (0.8017, 0.7093, 0.6034)  3 P 2.92-3.16, 4 Na 3.07-3.27
Na (0.9777, 0.2307, 0.9553)  1 P 2.92, 2 As 3.02, 2 Na 3.20
Na (0.3302, 0.0603, 0.6604)  3 P 2.93-3.07, 1 As 3.07, 2 Na 3.25-3.26


Record 3
A plane-wave DFT calculation with GGA-PBE was carried out for a geometry-optimized K3RbNa structure.

Output
* space group: C2/c

a = 9.2266 Å, b = 13.2245 Å, c = 13.2245 Å
α = 62.13°, β = 80.29°, γ = 80.29°
Closest atoms and distances in Å follow each position.
Positions (direct):
Na (0.1999, 0.7408, 0.4077)  1 Na 3.31
Na (0.3001, 0.5923, 0.2592)  1 Na 3.31
Na (0.6999, 0.4077, 0.7408)  1 Na 3.31
Na (0.8001, 0.2592, 0.5923)  1 Na 3.31
Rb (0.7500, 0.6441, 0.3559)  6 Na 4.55-5.03, 6 K 4.93-5.07
Rb (0.2500, 0.9712, 0.0288)  2 Na 4.47, 2 Rb 4.68, 4 K 4.81-4.93
Rb (0.2500, 0.3559, 0.6441)  6 Na 4.55-5.03, 6 K 4.93-5.07
Rb (0.7500, 0.0288, 0.9712)  2 Na 4.47, 2 Rb 4.68, 4 K 4.81-4.93
K (0.5734, 0.9971, 0.6665)  1 Na 3.99, 1 K 4.46
K (0.0944, 0.9881, 0.6605)  1 Na 3.94
K (0.4056, 0.3395, 0.0119)  1 Na 3.94
K (0.5972, 0.3228, 0.3211)  2 Na 3.95-4.00
K (0.4028, 0.6772, 0.6789)  2 Na 3.95-4.00
K (0.4266, 0.0029, 0.3335)  1 Na 3.99, 1 K 4.46
K (0.0972, 0.3211, 0.3228)  2 Na 3.95-4.00
K (0.9266, 0.3335, 0.0029)  1 Na 3.99, 1 K 4.46
K (0.9028, 0.6789, 0.6772)  2 Na 3.95-4.00
K (0.0734, 0.6665, 0.9971)  1 Na 3.99, 1 K 4.46
K (0.5944, 0.6605, 0.9881)  1 Na 3.94
K (0.9056, 0.0119, 0.3395)  1 Na 3.94


The evaluated total magnetic moment for the records listed, in turn: 0.0000; 0.0451; 0.0000 μB/atom.
The evaluated energy of formation for the records listed, in turn: -0.538; -0.302; 0.029 eV/atom.